GGA-PBE LiFeNiPd, optimized geometry; calculated formation energy = -0.08 eV per atom; space-group type = F-43m; M_tot = 0.983 μB/atom
1.0
0.0000 2.9337 2.9337
2.9337 0.0000 2.9337
2.9337 2.9337 0.0000
Li Fe Ni Pd
1 1 1 1
direct
0.0000 0.0000 0.0000
0.5000 0.5000 0.5000
0.2500 0.2500 0.2500
0.7500 0.7500 0.7500

GGA-PBE Li3Pr2FeNi12, optimized geometry; calculated formation energy = 0.19 eV per atom; space-group type = R-3m; M_tot = 0.283 μB/atom
1.0
2.9706 1.7151 8.5933
-2.9706 1.7151 8.5933
0.0000 -3.4301 8.5933
Li Pr Fe Ni
3 2 1 12
direct
0.0000 0.5000 0.5000
0.5000 0.0000 0.5000
0.5000 0.5000 0.0000
0.1502 0.1502 0.1502
0.8498 0.8498 0.8498
0.5000 0.5000 0.5000
0.0816 0.0816 0.6875
0.0816 0.6875 0.0816
0.1473 0.5714 0.5714
0.3125 0.9184 0.9184
0.4286 0.4286 0.8527
0.4286 0.8527 0.4286
0.5714 0.1473 0.5714
0.5714 0.5714 0.1473
0.6874 0.0816 0.0816
0.8527 0.4286 0.4286
0.9184 0.3125 0.9184
0.9184 0.9184 0.3125

GGA-PBE LiFe2NiRh, optimized geometry; calculated formation energy = 1.15 eV per atom; space-group type = P4/mmm; M_tot = 1.559 μB/atom
1.0
4.5885 0.0000 0.0000
0.0000 4.5885 0.0000
0.0000 0.0000 4.3040
Li Fe Ni Rh
1 2 1 1
direct
0.0000 0.0000 0.0000
0.0000 0.5000 0.5000
0.5000 0.0000 0.5000
0.5000 0.5000 0.0000
0.0000 0.0000 0.5000

GGA-PBE LiFeNiRh, optimized geometry; calculated formation energy = -0.10 eV per atom; space-group type = F-43m; M_tot = 1.046 μB/atom
1.0
0.0000 2.8978 2.8978
2.8978 0.0000 2.8978
2.8978 2.8978 0.0000
Li Fe Ni Rh
1 1 1 1
direct
0.0000 0.0000 0.0000
0.5000 0.5000 0.5000
0.7500 0.7500 0.7500
0.2500 0.2500 0.2500

GGA-PBE LiTiFeNi2, optimized geometry; calculated formation energy = 0.73 eV per atom; space-group type = P4/mmm; M_tot = 0.194 μB/atom
1.0
3.8516 0.0000 0.0000
0.0000 3.8516 0.0000
0.0000 0.0000 4.2614
Li Ti Fe Ni
1 1 1 2
direct
0.0000 0.0000 0.0000
0.0000 0.0000 0.5000
0.5000 0.5000 0.5000
0.0000 0.5000 0.0000
0.5000 0.0000 0.0000

GGA-PBE LiFe2NiW, optimized geometry; calculated formation energy = 1.24 eV per atom; space-group type = P4/mmm; M_tot = 1.403 μB/atom
1.0
4.4211 0.0000 0.0000
0.0000 4.4211 0.0000
0.0000 0.0000 4.4779
Li Fe Ni W
1 2 1 1
direct
0.0000 0.0000 0.0000
0.0000 0.5000 0.5000
0.5000 0.0000 0.5000
0.5000 0.5000 0.5000
0.5000 0.5000 0.0000

- The highest M_tot belongs to which entry?
  LiFe2NiRh